KAu3SeS: optimized geometry, PBE.

Lattice parameters (Å, degrees): 6.1721 6.1721 5.3598 90.00 90.00 120.00
Space group P3m1 (No. 156)
Asymmetric unit:
K1 0.0000 0.0000 0.0000 x1
Au1 0.0015 0.5007 0.4932 x3
Se1 0.6667 0.3333 0.8134 x1
S1 0.3333 0.6667 0.2017 x1

Output
**Crystal system**: trigonal
**Total DFT energy (no corrections)**: -3.524 eV/atom
**Calculated volume**: 177 Å³/f.u.